PmAl2GaPd2 | PBE-GGA | optimized geometry

Cell: 4.651 4.651 5.658 Å, 90.00 90.00 90.00°
Space group P4/mmm (No. 123)
Asymmetric unit:
Pm  0.000  0.000  0.000 [1 per cell]
Al  0.500  0.500  0.243 [2 per cell]
Ga  0.000  0.000  0.500 [1 per cell]
Pd  0.000  0.500  0.500 [2 per cell]

## Properties
DFT formation energy in eV per atom: -0.47